Run A
Entry from Alexandria via LeMat-Bulk: a relaxed structure of LiSnPt4 (PBE).

Lattice parameters (Å, degrees): 7.558 7.558 7.558 90.00 90.00 90.00
Space group F-43m (No. 216)
Inequivalent atoms, fractional coordinates:
Li  0.000  0.000  0.000 [4 per cell]
Sn  0.250  0.250  0.250 [4 per cell]
Pt  0.125  0.125  0.625 [16 per cell]

## Properties
Magnetic moment in μB/atom: 0.0000

=====

Run B
Entry from Alexandria via LeMat-Bulk: a relaxed structure of LiSnPt4 (PBE).

Lattice parameters (Å, degrees): 4.143 4.143 6.088 90.00 90.00 90.00
Space group P4/mmm (No. 123)
Inequivalent atoms, fractional coordinates:
Li  0.000  0.000  0.000 [1 per cell]
Sn  0.500  0.500  0.500 [1 per cell]
Pt  0.000  0.500  0.227 [4 per cell]

## Properties
Magnetic moment in μB/atom: 0.0000

=====

Pick the most stable structure from those above. Pick: run A